Computed, not measured: a relaxed structure of Pr3Hg2Pb2 at the PBE-GGA level of DFT.

Cell: 8.7843 5.2953 9.6864 Å, 90.00 110.57 90.00°
With the nearest neighbours (Å) after each atom.
Space group C2/m (No. 12)
Unique sites:
Pr1 0.0000 0.0000 0.0000 [2 per cell]  6 Pb 3.27
Pr2 0.0647 0.5000 0.6992 [4 per cell]  3 Pb 3.31-3.32, 6 Hg 3.37-3.71, 1 Pr 3.62
Hg1 0.1582 0.0000 0.4729 [4 per cell]  3 Hg 3.00-3.05
Pb1 0.2151 0.5000 0.1441 [4 per cell]  6 Pr 3.27-3.32, 1 Hg 3.48

Summary:
The formation energy from the elements comes out at -0.449 eV per atom. The value obtained for the total moment is 0.00 μB per formula unit. The total DFT energy (no corrections) comes out at -3.644 eV per atom.